Compound: Ho2Co5P4
Source: Alexandria
Functional: PBE-GGA
Structure: relaxed

Calculated values
Calculated total energy, eV/atom: -6.86
DOS at the Fermi energy, states/eV/f.u.: 6.715
Spin magnetization, Bohr magnetons per cell: 1.59
Density, g/cm³: 8.1

a = 5.1139 Å, b = 9.1584 Å, c = 13.0430 Å
α = 90.00°, β = 90.00°, γ = 90.00°
Space group Fmmm (No. 69)
Asymmetric unit:
Ho 0.0000 0.0000 0.1370 (multiplicity 8)
Co 0.0000 0.0000 0.5000 (multiplicity 4)
Co 0.2500 0.2500 0.0000 (multiplicity 8)
Co 0.2500 0.2500 0.2500 (multiplicity 8)
P 0.0000 0.1569 0.3704 (multiplicity 16)